1.
Below is crystalline NaPaCu at its relaxed geometry, with properties calculated at the PBE level.

Output
V: 25.956 Å³/atom
Energy relative to the lowest polymorph listed for this composition: 515 meV per atom
Magnetic moment: 8.79 Bohr magnetons per cell
Uncorrected energy: -41.67 eV per cell

a b c (Å): 6.779 6.779 6.779
angles (deg): 90.00 90.00 90.00
Positions (direct):
1 Na 0.000 0.000 0.000
2 Na 0.000 0.500 0.500
3 Na 0.500 0.000 0.500
4 Na 0.500 0.500 0.000
5 Pa 0.250 0.250 0.750
6 Pa 0.250 0.750 0.250
7 Pa 0.750 0.250 0.250
8 Pa 0.750 0.750 0.750
9 Cu 0.000 0.000 0.500
10 Cu 0.000 0.500 0.000
11 Cu 0.500 0.000 0.000
12 Cu 0.500 0.500 0.500

---

2.
Below is crystalline NaPaCu at its relaxed geometry, with properties calculated at the PBE level.

Output
V: 23.495 Å³/atom
Energy relative to the lowest polymorph listed for this composition: 0 meV per atom
Magnetic moment: 4.22 Bohr magnetons per cell
Uncorrected energy: -47.84 eV per cell

a b c (Å): 6.557 6.557 6.557
angles (deg): 90.00 90.00 90.00
Positions (direct):
1 Na 0.000 0.000 0.000
2 Na 0.000 0.500 0.500
3 Na 0.500 0.000 0.500
4 Na 0.500 0.500 0.000
5 Pa 0.000 0.000 0.500
6 Pa 0.000 0.500 0.000
7 Pa 0.500 0.000 0.000
8 Pa 0.500 0.500 0.500
9 Cu 0.250 0.250 0.250
10 Cu 0.250 0.750 0.750
11 Cu 0.750 0.250 0.750
12 Cu 0.750 0.750 0.250

---

3.
Below is crystalline NaCu3PbS4 at its relaxed geometry, with properties calculated at the PBE level.

Output
V: 22.386 Å³/atom
Uncorrected energy: -33.18 eV per cell

a b c (Å): 5.862 5.862 5.862
angles (deg): 90.00 90.00 90.00
Positions (direct):
1 Na 0.000 0.000 0.000
2 Cu 0.000 0.500 0.500
3 Cu 0.500 0.000 0.500
4 Cu 0.500 0.500 0.000
5 Pb 0.500 0.500 0.500
6 S 0.255 0.255 0.255
7 S 0.255 0.745 0.745
8 S 0.745 0.255 0.745
9 S 0.745 0.745 0.255

---

4.
Below is crystalline NaCuPbSeS2 at its relaxed geometry, with properties calculated at the PBE level.

Output
V: 23.384 Å³/atom
Uncorrected energy: -45.47 eV per cell

a b c (Å): 6.760 6.760 11.257
angles (deg): 90.00 90.00 146.94
Positions (direct):
1 Na 0.244 0.756 0.750
2 Na 0.756 0.244 0.250
3 Cu 0.451 0.549 0.250
4 Cu 0.549 0.451 0.750
5 Pb 0.000 0.000 0.000
6 Pb 0.000 0.000 0.500
7 Se 0.073 0.927 0.250
8 Se 0.927 0.073 0.750
9 S 0.362 0.638 0.078
10 S 0.362 0.638 0.422
11 S 0.638 0.362 0.578
12 S 0.638 0.362 0.922

---

5.
Below is crystalline NaCuTe2PbS at its relaxed geometry, with properties calculated at the PBE level.

Output
V: 26.143 Å³/atom
Uncorrected energy: -42.47 eV per cell

a b c (Å): 7.138 7.138 11.548
angles (deg): 90.00 90.00 147.78
Positions (direct):
1 Na 0.199 0.801 0.750
2 Na 0.801 0.199 0.250
3 Cu 0.038 0.962 0.250
4 Cu 0.962 0.038 0.750
5 Te 0.174 0.826 0.076
6 Te 0.174 0.826 0.424
7 Te 0.826 0.174 0.576
8 Te 0.826 0.174 0.924
9 Pb 0.500 0.500 0.000
10 Pb 0.500 0.500 0.500
11 S 0.457 0.543 0.250
12 S 0.543 0.457 0.750

---

6.
Below is crystalline NaCuTe2PbSe at its relaxed geometry, with properties calculated at the PBE level.

Output
V: 26.970 Å³/atom
Uncorrected energy: -41.04 eV per cell

a b c (Å): 7.083 7.083 11.701
angles (deg): 90.00 90.00 146.54
Positions (direct):
1 Na 0.217 0.783 0.750
2 Na 0.783 0.217 0.250
3 Cu 0.043 0.957 0.250
4 Cu 0.957 0.043 0.750
5 Te 0.171 0.829 0.073
6 Te 0.171 0.829 0.427
7 Te 0.829 0.171 0.573
8 Te 0.829 0.171 0.927
9 Pb 0.500 0.500 0.000
10 Pb 0.500 0.500 0.500
11 Se 0.448 0.552 0.250
12 Se 0.552 0.448 0.750

---

7.
Below is crystalline NaCuTe3Pb at its relaxed geometry, with properties calculated at the PBE level.

Output
V: 28.989 Å³/atom
Uncorrected energy: -39.70 eV per cell

a b c (Å): 7.061 7.061 12.326
angles (deg): 90.00 90.00 145.52
Positions (direct):
1 Na 0.246 0.754 0.750
2 Na 0.754 0.246 0.250
3 Cu 0.058 0.942 0.250
4 Cu 0.942 0.058 0.750
5 Te 0.167 0.833 0.071
6 Te 0.167 0.833 0.429
7 Te 0.445 0.555 0.250
8 Te 0.555 0.445 0.750
9 Te 0.833 0.167 0.571
10 Te 0.833 0.167 0.929
11 Pb 0.500 0.500 0.000
12 Pb 0.500 0.500 0.500

---

8.
Below is crystalline NaCuPd at its relaxed geometry, with properties calculated at the PBE level.

Output
V: 18.850 Å³/atom
Energy relative to the lowest polymorph listed for this composition: 331 meV per atom
Uncorrected energy: -33.56 eV per cell

a b c (Å): 6.093 6.093 6.093
angles (deg): 90.00 90.00 90.00
Positions (direct):
1 Na 0.000 0.000 0.000
2 Na 0.000 0.500 0.500
3 Na 0.500 0.000 0.500
4 Na 0.500 0.500 0.000
5 Cu 0.250 0.250 0.750
6 Cu 0.250 0.750 0.250
7 Cu 0.750 0.250 0.250
8 Cu 0.750 0.750 0.750
9 Pd 0.250 0.250 0.250
10 Pd 0.250 0.750 0.750
11 Pd 0.750 0.250 0.750
12 Pd 0.750 0.750 0.250

---

9.
Below is crystalline NaCuPd at its relaxed geometry, with properties calculated at the PBE level.

Output
V: 18.749 Å³/atom
Energy relative to the lowest polymorph listed for this composition: 0 meV per atom
Uncorrected energy: -37.53 eV per cell

a b c (Å): 6.082 6.082 6.082
angles (deg): 90.00 90.00 90.00
Positions (direct):
1 Na 0.000 0.000 0.000
2 Na 0.000 0.500 0.500
3 Na 0.500 0.000 0.500
4 Na 0.500 0.500 0.000
5 Cu 0.250 0.250 0.250
6 Cu 0.250 0.750 0.750
7 Cu 0.750 0.250 0.750
8 Cu 0.750 0.750 0.250
9 Pd 0.000 0.000 0.500
10 Pd 0.000 0.500 0.000
11 Pd 0.500 0.000 0.000
12 Pd 0.500 0.500 0.500

---

10.
Below is crystalline NaCu3PdS4 at its relaxed geometry, with properties calculated at the PBE level.

Output
V: 20.027 Å³/atom
Uncorrected energy: -35.80 eV per cell

a b c (Å): 5.649 5.649 5.649
angles (deg): 90.00 90.00 90.00
Positions (direct):
1 Na 0.000 0.000 0.000
2 Cu 0.000 0.500 0.500
3 Cu 0.500 0.000 0.500
4 Cu 0.500 0.500 0.000
5 Pd 0.500 0.500 0.500
6 S 0.263 0.263 0.263
7 S 0.263 0.737 0.737
8 S 0.737 0.263 0.737
9 S 0.737 0.737 0.263

---

11.
Below is crystalline Na2Cu2PdS4 at its relaxed geometry, with properties calculated at the PBE level.

Output
V: 17.913 Å³/atom
Uncorrected energy: -36.18 eV per cell

a b c (Å): 7.182 7.182 6.783
angles (deg): 112.16 112.16 30.03
Positions (direct):
1 Na 0.136 0.136 0.054
2 Na 0.864 0.864 0.946
3 Cu 0.316 0.316 0.520
4 Cu 0.684 0.684 0.480
5 Pd 0.000 0.000 0.500
6 S 0.194 0.194 0.691
7 S 0.488 0.488 0.736
8 S 0.512 0.512 0.264
9 S 0.806 0.806 0.309

---

12.
Below is crystalline NaCuPdSe2S at its relaxed geometry, with properties calculated at the PBE level.

Output
V: 19.177 Å³/atom
Uncorrected energy: -47.47 eV per cell

a b c (Å): 6.587 6.587 9.821
angles (deg): 90.00 90.00 147.31
Positions (direct):
1 Na 0.240 0.760 0.750
2 Na 0.760 0.240 0.250
3 Cu 0.047 0.953 0.250
4 Cu 0.953 0.047 0.750
5 Pd 0.500 0.500 0.000
6 Pd 0.500 0.500 0.500
7 Se 0.139 0.861 0.034
8 Se 0.139 0.861 0.466
9 Se 0.861 0.139 0.534
10 Se 0.861 0.139 0.966
11 S 0.443 0.557 0.250
12 S 0.557 0.443 0.750

---

Copy entry 10 word for word.
Below is crystalline NaCu3PdS4 at its relaxed geometry, with properties calculated at the PBE level.

Output
V: 20.027 Å³/atom
Uncorrected energy: -35.80 eV per cell

a b c (Å): 5.649 5.649 5.649
angles (deg): 90.00 90.00 90.00
Positions (direct):
1 Na 0.000 0.000 0.000
2 Cu 0.000 0.500 0.500
3 Cu 0.500 0.000 0.500
4 Cu 0.500 0.500 0.000
5 Pd 0.500 0.500 0.500
6 S 0.263 0.263 0.263
7 S 0.263 0.737 0.737
8 S 0.737 0.263 0.737
9 S 0.737 0.737 0.263

---

Question: Which value of V does entry 9 give?
Answer: 18.749 Å³/atom